[1]
Here is AcEr2Sn2Hg2 after structural relaxation from the Alexandria database. Energies are from PBE.

Lattice parameters (Å, degrees): 5.068 5.068 9.557 74.62 74.62 60.00
Atoms (fractional coordinates):
Ac 0.000 0.000 0.000
Er 0.133 0.133 0.600
Er 0.867 0.867 0.400
Sn 0.739 0.739 0.784
Sn 0.261 0.261 0.216
Hg 0.562 0.562 0.315
Hg 0.438 0.438 0.685

DOS(E_F)   0.84 states/eV per atom
Volume   28.913 A^3/atom
Energy relative to the elements   -361.7 meV/atom
E_tot   -3.48 eV per atom



[2]
Here is Ni2GeBr after structural relaxation from the Alexandria database. Energies are from PBE.

Lattice parameters (Å, degrees): 5.765 5.765 6.209 62.34 62.34 90.00
Atoms (fractional coordinates):
Ni 0.613 0.125 0.250
Ni 0.137 0.625 0.250
Ni 0.375 0.387 0.750
Ni 0.875 0.863 0.750
Ge 0.500 0.500 0.000
Ge 0.250 0.750 0.500
Br 0.000 0.000 0.000
Br 0.750 0.250 0.500

DOS(E_F)   1.54 states/eV per atom
ΔE_f (raw)   0.88 eV/f.u.
Volume   19.459 A^3/atom
E_tot   -4.24 eV per atom
Relative energy among the computed polymorphs   0 meV per atom



[3]
Here is NaCu2Si2 after structural relaxation from the Alexandria database. Energies are from PBE.

Lattice parameters (Å, degrees): 3.942 3.942 5.947 70.64 70.64 90.00
Atoms (fractional coordinates):
Na 0.000 0.000 0.000
Si 0.750 0.250 0.500
Si 0.250 0.750 0.500
Cu 0.379 0.379 0.242
Cu 0.621 0.621 0.758

DOS(E_F)   0.44 states/eV per atom
ΔE_f (raw)   0.49 eV/f.u.
Volume   16.323 A^3/atom
E_tot   -3.97 eV per atom
Relative energy among the computed polymorphs   131 meV per atom



[4]
Here is KTeAuSe3 after structural relaxation from the Alexandria database. Energies are from PBE.

Lattice parameters (Å, degrees): 4.047 8.757 10.457 99.82 90.00 90.00
Atoms (fractional coordinates):
K 0.250 0.174 0.245
K 0.750 0.826 0.755
Te 0.250 0.674 0.120
Te 0.750 0.326 0.880
Au 0.250 0.098 0.546
Au 0.750 0.902 0.454
Se 0.750 0.881 0.083
Se 0.250 0.119 0.917
Se 0.250 0.727 0.398
Se 0.750 0.273 0.602
Se 0.750 0.446 0.149
Se 0.250 0.554 0.851

DOS(E_F)   0.13 states/eV per atom
ΔE_f (raw)   -2.01 eV/f.u.
Volume   30.428 A^3/atom
E_tot   -3.33 eV per atom



[5]
Here is Bi3RhPb after structural relaxation from the Alexandria database. Energies are from PBE.

Lattice parameters (Å, degrees): 6.494 6.552 6.844 89.99 95.52 89.98
Atoms (fractional coordinates):
Bi 0.370 0.325 0.241
Bi 0.434 0.919 0.926
Bi 0.934 0.433 0.426
Bi 0.870 0.027 0.741
Bi 0.968 0.501 0.923
Bi 0.468 0.852 0.423
Rh 0.147 0.740 0.647
Rh 0.647 0.612 0.147
Pb 0.459 0.427 0.767
Pb 0.959 0.926 0.267

DOS(E_F)   0.43 states/eV per atom
Volume   28.988 A^3/atom
Energy relative to the elements   -65.8 meV/atom
E_tot   -4.61 eV per atom
Relative energy among the computed polymorphs   0 meV per atom



[6]
Here is Th3SiTe after structural relaxation from the Alexandria database. Energies are from PBE.

Lattice parameters (Å, degrees): 7.283 7.283 8.299 63.96 63.94 59.97
Atoms (fractional coordinates):
Th 0.766 0.416 0.720
Th 0.099 0.766 0.720
Th 0.415 0.099 0.720
Th 0.234 0.584 0.280
Th 0.901 0.234 0.280
Th 0.585 0.901 0.280
Si 0.831 0.831 0.506
Si 0.169 0.169 0.494
Te 0.333 0.332 0.002
Te 0.667 0.668 0.998

DOS(E_F)   0.90 states/eV per atom
ΔE_f (raw)   -2.44 eV/f.u.
Volume   32.849 A^3/atom
E_tot   -6.65 eV per atom